1.
A PBEsol-optimized structure of SmAu. Source: Alexandria, functional meta-GGA SCAN.

```
SmAu
1.0
-1.5834 -4.4171 0.3555
3.5030 -1.5901 -4.1538
5.1556 -1.4535 4.9043
Au Sm
4 4
direct
0.2500 0.1504 0.0389 Au
0.7500 0.8496 0.9611 Au
0.7500 0.6504 0.4611 Au
0.2500 0.3496 0.5389 Au
0.2500 0.6456 0.1856 Sm
0.7500 0.3544 0.8144 Sm
0.7500 0.1456 0.3144 Sm
0.2500 0.8544 0.6856 Sm
```

The calculation puts the energy of formation at -2.2 eV/f.u. The density of states at the Fermi level comes out at 4.6 states/eV/cell. As for the total DFT energy (no corrections): -463.083 eV/cell.


2.
A PBEsol-optimized structure of In2CoAs. Source: Alexandria, functional meta-GGA SCAN.

```
In2CoAs
1.0
3.3383 0.0000 0.0000
1.6691 2.8910 0.0000
1.6691 0.9637 7.9595
As Co In
1 1 2
direct
0.5224 0.5224 0.4328 As
0.2393 0.2393 0.2820 Co
0.9832 0.9832 0.0503 In
0.7550 0.7550 0.7349 In
```

The calculation puts the energy of formation at 0.4 eV/f.u. The density of states at the Fermi level comes out at 2.0 states/eV/cell. As for the total DFT energy (no corrections): -103.848 eV/cell.


3.
A PBEsol-optimized structure of Sc2AsSe. Source: Alexandria, functional meta-GGA SCAN.

```
Sc2AsSe
1.0
3.8215 0.0000 0.0000
0.0000 3.8215 0.0000
0.0000 0.0000 5.3918
Sc As Se
2 1 1
direct
0.0000 0.0000 0.0000 Sc
0.5000 0.5000 0.5000 Sc
0.0000 0.0000 0.5000 As
0.5000 0.5000 0.0000 Se
```

The density of states at the Fermi level comes out at 1.5 states/eV/cell. For the formation energy from raw total energies, the calculation gives -6.818 eV/f.u. As for the total DFT energy (no corrections): -75.561 eV/cell.


4.
A PBEsol-optimized structure of Ca2LaMnPt. Source: Alexandria, functional meta-GGA SCAN.

```
Ca2LaMnPt
1.0
5.4625 0.0000 0.0000
0.0000 5.5006 0.0000
0.0000 0.0000 5.5006
Ca Mn Pt La
2 1 1 1
direct
0.0000 0.0000 0.5000 Ca
0.0000 0.5000 0.0000 Ca
0.5000 0.5000 0.5000 Mn
0.0000 0.0000 0.0000 Pt
0.5000 0.0000 0.0000 La
```

The calculation puts the energy of formation at -1.7 eV/f.u. The density of states at the Fermi level comes out at 3.8 states/eV/cell. As for the total DFT energy (no corrections): -152.593 eV/cell.


5.
A PBEsol-optimized structure of Na2YZnGa. Source: Alexandria, functional meta-GGA SCAN.

```
Na2YZnGa
1.0
4.6721 0.0000 0.0000
0.0000 5.1288 0.0000
0.0000 0.0000 5.1288
Y Na Zn Ga
1 2 1 1
direct
0.5000 0.5000 0.5000 Y
0.0000 0.0000 0.5000 Na
0.0000 0.5000 0.0000 Na
0.0000 0.0000 0.0000 Zn
0.5000 0.0000 0.0000 Ga
```

The calculation puts the energy of formation at 1.2 eV/f.u. The density of states at the Fermi level comes out at 2.6 states/eV/cell. As for the total DFT energy (no corrections): -64.975 eV/cell.


6.
A PBEsol-optimized structure of AlRh. Source: Alexandria, functional meta-GGA SCAN.

```
AlRh
1.0
-0.9067 -0.2660 2.8158
-1.3648 -2.5488 -0.6803
2.4773 -1.5016 0.6558
Rh Al
1 1
direct
0.5000 0.5000 0.5000 Rh
0.0000 0.0000 0.0000 Al
```

The calculation puts the energy of formation at -2.7 eV/f.u. The density of states at the Fermi level comes out at 0.4 states/eV/cell. As for the total DFT energy (no corrections): -44.175 eV/cell.


7.
A PBEsol-optimized structure of BeHS2. Source: Alexandria, functional meta-GGA SCAN.

```
BeHS2
1.0
3.9140 0.0000 0.0000
1.9570 3.3896 0.0000
1.9570 1.1299 3.1958
Be S H
1 2 1
direct
0.5000 0.5000 0.5000 Be
0.2500 0.2500 0.2500 S
0.7500 0.7500 0.7500 S
0.0000 0.0000 0.0000 H
```

The density of states at the Fermi level comes out at 1.7 states/eV/cell. As for the total DFT energy (no corrections): -23.745 eV/cell.


8.
A PBEsol-optimized structure of Li2RuSe. Source: Alexandria, functional meta-GGA SCAN.

```
Li2RuSe
1.0
3.1344 0.0000 0.0000
0.0000 4.4395 -0.0115
-1.5672 -1.3711 4.0026
Ru Se Li
1 1 2
direct
0.5206 0.5762 0.0412 Ru
0.2460 0.6697 0.4920 Se
0.9882 0.0418 0.9765 Li
0.7451 0.2123 0.4903 Li
```

The density of states at the Fermi level comes out at 0.5 states/eV/cell. For the formation energy from raw total energies, the calculation gives -1.357 eV/f.u. As for the total DFT energy (no corrections): -61.042 eV/cell.